Here is an optimized crystal structure of Li2TmZn from Alexandria via LeMat-Bulk. Energies are from GGA-PBE.

Cell lengths 3.1393, 3.1393, 31.0960 Å; angles 90.00, 90.00, 120.00 degrees
Positions (direct):
Li: 0.0000 0.0000 0.0983
Li: 0.0000 0.0000 0.9017
Li: 0.3333 0.6667 0.5683
Li: 0.3333 0.6667 0.7650
Li: 0.6667 0.3333 0.2350
Li: 0.6667 0.3333 0.4317
Tm: 0.0000 0.0000 0.0000
Tm: 0.3333 0.6667 0.6667
Tm: 0.6667 0.3333 0.3333
Zn: 0.0000 0.0000 0.5000
Zn: 0.3333 0.6667 0.1667
Zn: 0.6667 0.3333 0.8333

Computed properties:
Symmetry ... R-3m (166)
Energy of formation from the pure elements ... 0.7 eV/f.u.